# RbErMnF6 PBE with a Hubbard U optimized geometry
data_RbErMnF6
_cell_length_a 5.8833
_cell_length_b 5.8833
_cell_length_c 11.7674
_cell_angle_alpha 90.00
_cell_angle_beta 90.00
_cell_angle_gamma 120.00
_symmetry_space_group_name_H-M 'P -3 1 c'
_symmetry_Int_Tables_number 163
_symmetry_space_group_name_Hall '-P 3 2c'
loop_
_atom_site_label
_atom_site_type_symbol
_atom_site_fract_x
_atom_site_fract_y
_atom_site_fract_z
Rb1 Rb 0.0000 0.0000 0.0000
Er1 Er 0.3333 0.6667 0.2500
Mn1 Mn 0.3333 0.6667 0.7500
F1 F 0.0017 0.3845 0.6517
# - total moment (μB/atom) = 0.56
# - DFT total energy (eV per atom) = -6.05